1.
Ac2PaBi5 after structural relaxation, computed with PBE.

```
Ac2PaBi5
1.0
5.589 -4.221 0.000
5.589 4.221 0.000
-4.818 0.000 5.551
Ac Pa Bi
2 1 5
direct
0.000 0.000 0.000
0.000 0.000 0.500
0.500 0.500 0.499
0.000 0.500 0.000
0.000 0.500 0.500
0.500 0.000 0.000
0.500 0.000 0.500
0.500 0.500 0.000
```

Summary:
D(E_F)	7.16	states/eV/f.u.
energy of formation from the pure elements	-0.4067	eV/atom
electronic total energy	-40.37	eV/cell

=====

2.
Pr5Sn3Hg after structural relaxation, computed with PBE.

```
Pr5Sn3Hg
1.0
9.697 0.000 0.000
-4.848 8.398 0.000
0.000 0.000 6.765
Pr Sn Hg
10 6 2
direct
0.000 0.284 0.250
0.000 0.716 0.750
0.284 0.000 0.250
0.284 0.284 0.750
0.333 0.667 0.000
0.333 0.667 0.500
0.667 0.333 0.000
0.667 0.333 0.500
0.716 0.000 0.750
0.716 0.716 0.250
0.000 0.372 0.750
0.000 0.628 0.250
0.372 0.000 0.750
0.372 0.372 0.250
0.628 0.000 0.250
0.628 0.628 0.750
0.000 0.000 0.000
0.000 0.000 0.500
```

Summary:
D(E_F)	9.33	states/eV/f.u.
energy of formation from the pure elements	-0.6824	eV/atom
electronic total energy	-84.70	eV/cell

=====

3.
CaB3Pt6 after structural relaxation, computed with PBE.

```
CaB3Pt6
1.0
5.537 0.000 0.000
-0.896 5.561 0.000
-0.928 -2.925 4.724
Ca B Pt
1 3 6
direct
0.000 0.000 0.000
0.475 0.823 0.822
0.803 0.265 0.607
0.803 0.607 0.264
0.082 0.024 0.517
0.083 0.517 0.025
0.103 0.541 0.542
0.557 0.861 0.227
0.558 0.228 0.861
0.575 0.484 0.483
```

Summary:
D(E_F)	2.55	states/eV/f.u.
energy of formation from the pure elements	-0.4443	eV/atom
electronic total energy	-62.72	eV/cell

=====

4.
SmGa3CoCu after structural relaxation, computed with PBE.

```
SmGa3CoCu
1.0
3.109 -5.676 0.000
3.109 5.676 0.000
0.000 0.000 6.267
Sm Ga Co Cu
2 6 2 2
direct
0.232 0.768 0.750
0.768 0.232 0.250
0.209 0.209 0.000
0.209 0.209 0.500
0.308 0.692 0.250
0.692 0.308 0.750
0.791 0.791 0.000
0.791 0.791 0.500
0.111 0.889 0.250
0.889 0.111 0.750
0.483 0.517 0.750
0.517 0.483 0.250
```

Summary:
D(E_F)	3.05	states/eV/f.u.
energy of formation from the pure elements	-0.1993	eV/atom
electronic total energy	-52.39	eV/cell

=====

5.
SmHf3Al8 after structural relaxation, computed with PBE.

```
SmHf3Al8
1.0
2.681 1.548 8.803
-2.681 1.548 8.803
0.000 -3.096 8.803
Sm Hf Al
1 3 8
direct
0.000 0.000 0.000
0.379 0.379 0.379
0.499 0.499 0.499
0.873 0.873 0.873
0.187 0.187 0.187
0.435 0.435 0.933
0.435 0.933 0.435
0.441 0.938 0.938
0.688 0.688 0.688
0.933 0.435 0.435
0.938 0.441 0.938
0.938 0.938 0.441
```

Summary:
D(E_F)	2.92	states/eV/f.u.
energy of formation from the pure elements	-0.4299	eV/atom
electronic total energy	-69.68	eV/cell

=====

6.
SiBRh3 after structural relaxation, computed with PBE.

```
SiBRh3
1.0
4.050 0.000 0.000
0.000 4.050 0.000
0.000 0.000 4.050
Si B Rh
1 1 3
direct
0.000 0.000 0.000
0.500 0.500 0.500
0.000 0.500 0.500
0.500 0.000 0.500
0.500 0.500 0.000
```

Summary:
energy relative to the elements, uncorrected	-0.18	eV/atom
D(E_F)	1.15	states/eV/f.u.
energy above the lowest structure with this stoichiometry	355	meV/atom
electronic total energy	-35.05	eV/cell